A plane-wave DFT calculation with PBE was carried out for a relaxed BaZrTi2Mn crystal.

Results
- Crystal system: tetragonal
- DFT formation energy: 0.463 eV per atom
- E_tot: -33.115 eV per cell
- Space-group type: P4/mmm, No. 123
- Total magnetization: 0.00 μB/cell

Cell: 4.798 5.030 4.798 Å, 90.00 90.00 90.00°
Fractional coordinates of all 5 atoms:
Zr (0.000, 0.500, 0.000)
Ba (0.500, 0.500, 0.500)
Mn (0.000, 0.000, 0.000)
Ti (0.000, 0.000, 0.500)
Ti (0.500, 0.000, 0.000)